(1)
KBa2PbO | PBE-GGA | optimized geometry

Computed properties:
formation energy (no corrections) = -1.129 eV/atom
electronic total energy = -19.3 eV/cell

a = 5.5038 Å, b = 5.5038 Å, c = 5.4883 Å
α = 90.00°, β = 90.00°, γ = 90.00°
Space group P4/mmm (No. 123)
Asymmetric unit:
K  0.0000  0.0000  0.0000 [1 per cell]
Ba  0.0000  0.5000  0.5000 [2 per cell]
Pb  0.5000  0.5000  0.0000 [1 per cell]
O  0.0000  0.0000  0.5000 [1 per cell]

***

(2)
KBa2PbO4 | PBE-GGA | optimized geometry

Computed properties:
formation energy (no corrections) = -1.714 eV/atom
electronic total energy = -168.8 eV/cell

a = 7.7250 Å, b = 7.7815 Å, c = 10.6558 Å
α = 90.00°, β = 90.00°, γ = 90.00°
Space group Imma (No. 74)
Asymmetric unit:
K  0.2500  0.2500  0.2500 [4 per cell]
Ba  0.0000  0.0000  0.0000 [4 per cell]
Ba  0.2500  0.2500  0.7500 [4 per cell]
Pb  0.0000  0.0000  0.5000 [4 per cell]
O  0.0000  0.0104  0.7266 [8 per cell]
O  0.2481  0.2500  0.5014 [8 per cell]

***

(3)
KBa2PdO | PBE-GGA | optimized geometry

Computed properties:
formation energy (no corrections) = -0.994 eV/atom
electronic total energy = -20.1 eV/cell

a = 5.3968 Å, b = 5.3968 Å, c = 5.2315 Å
α = 90.00°, β = 90.00°, γ = 90.00°
Space group P4/mmm (No. 123)
Asymmetric unit:
K  0.0000  0.0000  0.0000 [1 per cell]
Ba  0.0000  0.5000  0.5000 [2 per cell]
Pd  0.5000  0.5000  0.0000 [1 per cell]
O  0.0000  0.0000  0.5000 [1 per cell]

***

(4)
KBaPdO3 | PBE-GGA | optimized geometry

Computed properties:
formation energy (no corrections) = -1.421 eV/atom
electronic total energy = -126.4 eV/cell

a = 14.2202 Å, b = 4.0568 Å, c = 7.8853 Å
α = 90.00°, β = 106.63°, γ = 90.00°
Space group C2/m (No. 12)
Asymmetric unit:
K  0.1442  0.0000  0.0685 [4 per cell]
Ba  0.1514  0.0000  0.5860 [4 per cell]
Pd  0.0037  0.5000  0.2561 [4 per cell]
O  0.0045  0.0000  0.2852 [4 per cell]
O  0.1424  0.5000  0.8142 [4 per cell]
O  0.1506  0.5000  0.3401 [4 per cell]

***

(5)
KBa2PdO4 | PBE-GGA | optimized geometry

Computed properties:
formation energy (no corrections) = -1.192 eV/atom
electronic total energy = -316.1 eV/cell

a = 5.9320 Å, b = 12.5640 Å, c = 22.3902 Å
α = 90.00°, β = 90.00°, γ = 90.00°
Space group Fddd (No. 70, origin choice 2)
Asymmetric unit:
K  0.1250  0.1250  0.1250 [8 per cell]
Ba  0.1250  0.1250  0.3196 [16 per cell]
Pd  0.1250  0.1250  0.6250 [8 per cell]
O  0.0708  0.0009  0.4016 [32 per cell]

***

(6)
K3Ba2PdO6 | PBE-GGA | optimized geometry

Computed properties:
formation energy (no corrections) = -1.420 eV/atom
electronic total energy = -118.2 eV/cell

a = 6.4121 Å, b = 11.2012 Å, c = 6.5550 Å
α = 90.00°, β = 108.80°, γ = 90.00°
Space group C2/m (No. 12)
Asymmetric unit:
K  0.0000  0.0000  0.0000 [2 per cell]
K  0.0000  0.3493  0.0000 [4 per cell]
Ba  0.0000  0.1679  0.5000 [4 per cell]
Pd  0.0000  0.5000  0.5000 [2 per cell]
O  0.1977  0.3674  0.6967 [8 per cell]
O  0.2077  0.5000  0.3103 [4 per cell]

***

(7)
KBa2PrO4 | PBE-GGA | optimized geometry

Computed properties:
formation energy (no corrections) = -2.417 eV/atom
electronic total energy = -48.9 eV/cell

a = 6.6052 Å, b = 3.8364 Å, c = 6.6586 Å
α = 90.00°, β = 109.04°, γ = 90.00°
Space group P2/m (No. 10)
Asymmetric unit:
K  0.0000  0.0000  0.0000 [1 per cell]
Ba  0.5000  0.0000  0.5000 [1 per cell]
Ba  0.5000  0.5000  0.0000 [1 per cell]
Pr  0.0000  0.5000  0.5000 [1 per cell]
O  0.2275  0.0000  0.7229 [2 per cell]
O  0.2371  0.5000  0.2865 [2 per cell]

***

(8)
K2Ba2PtO4 | PBE-GGA | optimized geometry

Computed properties:
formation energy (no corrections) = -1.140 eV/atom
electronic total energy = -84.4 eV/cell

a = 6.3176 Å, b = 6.3176 Å, c = 8.5603 Å
α = 90.00°, β = 90.00°, γ = 90.00°
Space group I4/mmm (No. 139)
Asymmetric unit:
K  0.0000  0.5000  0.2500 [4 per cell]
Ba  0.0000  0.0000  0.1716 [4 per cell]
Pt  0.0000  0.0000  0.5000 [2 per cell]
O  0.2393  0.2393  0.5000 [8 per cell]

***

(9)
K2Ba2PtO6 | PBE-GGA | optimized geometry

Computed properties:
formation energy (no corrections) = -1.463 eV/atom
electronic total energy = -115.8 eV/cell

a = 6.5315 Å, b = 10.9688 Å, c = 6.5912 Å
α = 90.00°, β = 103.48°, γ = 90.00°
Space group C2/m (No. 12)
Asymmetric unit:
K  0.0000  0.1443  0.0000 [4 per cell]
Ba  0.0000  0.3383  0.5000 [4 per cell]
Pt  0.0000  0.0000  0.5000 [2 per cell]
O  0.1716  0.1326  0.6732 [8 per cell]
O  0.2053  0.0000  0.3118 [4 per cell]

***

(10)
K3BaPu2O9 | PBE-GGA | optimized geometry

Computed properties:
formation energy (no corrections) = -2.344 eV/atom
electronic total energy = -113.7 eV/cell

a = 6.1934 Å, b = 6.1934 Å, c = 8.1182 Å
α = 90.00°, β = 90.00°, γ = 120.00°
Space group P-3m1 (No. 164)
Asymmetric unit:
K  0.0000  0.0000  0.0000 [1 per cell]
K  0.3333  0.6667  0.7051 [2 per cell]
Ba  0.0000  0.0000  0.5000 [1 per cell]
Pu  0.3333  0.6667  0.1484 [2 per cell]
O  0.0000  0.5000  0.0000 [3 per cell]
O  0.1831  0.3661  0.2873 [6 per cell]

***

(11)
K2BaPuO4 | PBE-GGA | optimized geometry

Computed properties:
formation energy (no corrections) = -2.285 eV/atom
electronic total energy = -56.6 eV/cell

a = 6.6457 Å, b = 3.6825 Å, c = 6.7099 Å
α = 90.00°, β = 111.16°, γ = 90.00°
Space group P2/m (No. 10)
Asymmetric unit:
K  0.0000  0.0000  0.0000 [1 per cell]
K  0.5000  0.5000  0.0000 [1 per cell]
Ba  0.0000  0.5000  0.5000 [1 per cell]
Pu  0.5000  0.0000  0.5000 [1 per cell]
O  0.2932  0.5000  0.3050 [2 per cell]
O  0.2969  0.0000  0.6871 [2 per cell]

***

(12)
K4BaPu3O12 | PBE-GGA | optimized geometry

Computed properties:
formation energy (no corrections) = -2.438 eV/atom
electronic total energy = -315.1 eV/cell

a = 8.8307 Å, b = 8.8307 Å, c = 8.8307 Å
α = 90.00°, β = 90.00°, γ = 90.00°
Space group Im-3m (No. 229)
Asymmetric unit:
K  0.2500  0.2500  0.2500 [8 per cell]
Ba  0.0000  0.0000  0.0000 [2 per cell]
Pu  0.0000  0.0000  0.5000 [6 per cell]
O  0.0000  0.0000  0.2853 [12 per cell]
O  0.0000  0.2500  0.5000 [12 per cell]

***

(13)
K2BaPu2O7 | PBE-GGA | optimized geometry

Computed properties:
formation energy (no corrections) = -2.619 eV/atom
electronic total energy = -197.8 eV/cell

a = 4.3532 Å, b = 4.3532 Å, c = 22.1750 Å
α = 90.00°, β = 90.00°, γ = 90.00°
Space group I4/mmm (No. 139)
Asymmetric unit:
K  0.0000  0.0000  0.1915 [4 per cell]
Ba  0.0000  0.0000  0.0000 [2 per cell]
Pu  0.0000  0.0000  0.4019 [4 per cell]
O  0.0000  0.0000  0.3130 [4 per cell]
O  0.0000  0.0000  0.5000 [2 per cell]
O  0.0000  0.5000  0.0901 [8 per cell]

***

(14)
K2Ba2PuO6 | PBE-GGA | optimized geometry

Computed properties:
formation energy (no corrections) = -2.357 eV/atom
electronic total energy = -152.1 eV/cell

a = 7.3453 Å, b = 10.3855 Å, c = 6.4744 Å
α = 90.00°, β = 116.41°, γ = 90.00°
Space group C2/m (No. 12)
Asymmetric unit:
K  0.0000  0.1456  0.0000 [4 per cell]
Ba  0.0000  0.3066  0.5000 [4 per cell]
Pu  0.0000  0.5000  0.0000 [2 per cell]
O  0.1614  0.5000  0.8034 [4 per cell]
O  0.1836  0.3538  0.2238 [8 per cell]

***

(15)
K2BaPuO6 | PBE-GGA | optimized geometry

Computed properties:
formation energy (no corrections) = -2.208 eV/atom
electronic total energy = -140.6 eV/cell

a = 6.3459 Å, b = 6.4555 Å, c = 11.0018 Å
α = 90.00°, β = 125.04°, γ = 90.00°
Space group P2_1/c (No. 14)
Asymmetric unit:
K  0.2455  0.0326  0.2537 [4 per cell]
Ba  0.5000  0.0000  0.0000 [2 per cell]
Pu  0.0000  0.0000  0.5000 [2 per cell]
O  0.1205  0.2465  0.4481 [4 per cell]
O  0.2149  0.6775  0.9650 [4 per cell]
O  0.2919  0.0345  0.7108 [4 per cell]

***

(16)
K2Ba3PuO6 | PBE-GGA | optimized geometry

Computed properties:
formation energy (no corrections) = -2.322 eV/atom
electronic total energy = -159.8 eV/cell

a = 6.7683 Å, b = 11.6436 Å, c = 6.4551 Å
α = 90.00°, β = 110.22°, γ = 90.00°
Space group C2/m (No. 12)
Asymmetric unit:
K  0.0000  0.1665  0.0000 [4 per cell]
Ba  0.0000  0.0000  0.5000 [2 per cell]
Ba  0.0000  0.3330  0.5000 [4 per cell]
Pu  0.0000  0.5000  0.0000 [2 per cell]
O  0.1948  0.5000  0.7629 [4 per cell]
O  0.2104  0.3651  0.2275 [8 per cell]

***

(17)
K3Ba2ReO6 | PBE-GGA | optimized geometry

Computed properties:
formation energy (no corrections) = -1.812 eV/atom
electronic total energy = -142.2 eV/cell

a = 6.4118 Å, b = 11.2176 Å, c = 6.5513 Å
α = 90.00°, β = 108.91°, γ = 90.00°
Space group C2/m (No. 12)
Asymmetric unit:
K  0.0000  0.0000  0.0000 [2 per cell]
K  0.0000  0.3493  0.0000 [4 per cell]
Ba  0.0000  0.1678  0.5000 [4 per cell]
Re  0.0000  0.5000  0.5000 [2 per cell]
O  0.1916  0.3713  0.6902 [8 per cell]
O  0.2032  0.5000  0.3144 [4 per cell]

***

(18)
K3BaRe2O8 | PBE-GGA | optimized geometry

Computed properties:
formation energy (no corrections) = -1.773 eV/atom
electronic total energy = -94.6 eV/cell

a = 6.4428 Å, b = 6.4428 Å, c = 8.0916 Å
α = 90.00°, β = 90.00°, γ = 120.00°
Space group P-3m1 (No. 164)
Asymmetric unit:
K  0.0000  0.0000  0.0000 [1 per cell]
K  0.3333  0.6667  0.6695 [2 per cell]
Ba  0.0000  0.0000  0.5000 [1 per cell]
Re  0.3333  0.6667  0.2022 [2 per cell]
O  0.1820  0.3640  0.2943 [6 per cell]
O  0.3333  0.6667  0.9808 [2 per cell]

***

(19)
KBaRhO3 | PBE-GGA | optimized geometry

Computed properties:
formation energy (no corrections) = -1.517 eV/atom
electronic total energy = -137.4 eV/cell

a = 14.0313 Å, b = 4.0616 Å, c = 8.0337 Å
α = 90.00°, β = 107.24°, γ = 90.00°
Space group C2/m (No. 12)
Asymmetric unit:
K  0.1421  0.0000  0.0664 [4 per cell]
Ba  0.1493  0.0000  0.5839 [4 per cell]
Rh  0.0041  0.5000  0.2581 [4 per cell]
O  0.0047  0.0000  0.2678 [4 per cell]
O  0.1406  0.5000  0.8096 [4 per cell]
O  0.1502  0.5000  0.3429 [4 per cell]

***

(20)
KBa2RhO5 | PBE-GGA | optimized geometry

Computed properties:
formation energy (no corrections) = -1.659 eV/atom
electronic total energy = -104.0 eV/cell

a = 4.0659 Å, b = 6.4473 Å, c = 12.1163 Å
α = 90.00°, β = 90.00°, γ = 90.00°
Space group Immm (No. 71)
Asymmetric unit:
K  0.0000  0.0000  0.0000 [2 per cell]
Ba  0.0000  0.5000  0.2187 [4 per cell]
Rh  0.0000  0.0000  0.5000 [2 per cell]
O  0.0000  0.2151  0.3784 [8 per cell]
O  0.0000  0.5000  0.0000 [2 per cell]